{"formula": "La2BeIn", "functional": "PBE", "state": "optimized geometry", "de_polymorph_ev_per_atom": 0.065, "delta_e_f_kcal_per_mol_atoms": -2.8, "spacegroup": "P1, No. 1", "cell": [[6.177, 0.002, 0.002], [-2.066, 6.004, -0.002], [-0.963, -3.520, 5.788]], "species": ["In", "In", "La", "Be", "La", "La", "La", "Be"], "frac_coords": [[0.046, 0.443, 0.456], [0.136, 0.999, 0.164], [0.495, 0.640, 0.258], [0.974, 0.567, 0.142], [0.048, 0.030, 0.670], [0.606, 0.436, 0.699], [0.596, 0.030, 0.931], [0.148, 0.586, 0.878]]}